Record 1
The following is a DFT calculation (PBE) of a relaxed structure of SmSi2Pd2Rh.

## Properties
Total moment in μB/cell: 0.00
Crystal system: tetragonal

Lattice parameters (Å, degrees): 4.5339 4.5339 5.5475 90.00 90.00 90.00
With the nearest neighbours (Å) after each atom.
Element x y z (fractional)
Sm 0.0000 0.0000 0.0000  2 Rh 2.77
Si 0.0000 0.5000 0.5000  2 Rh 2.27
Si 0.5000 0.0000 0.5000  2 Rh 2.27
Pd 0.5000 0.5000 0.2480  4 Si 2.66, 2 Pd 2.75-2.80
Pd 0.5000 0.5000 0.7520  4 Si 2.66, 2 Pd 2.75-2.80
Rh 0.0000 0.0000 0.5000  4 Si 2.27


Record 2
The following is a DFT calculation (PBE) of a relaxed structure of Er15Tm2Th2.

## Properties
Total moment in μB/cell: 0.00
Formation enthalpy at 0 K in eV/atom: 0.304
Crystal system: trigonal

Lattice parameters (Å, degrees): 8.6638 8.6638 8.6638 78.67 78.67 78.67
With the nearest neighbours (Å) after each atom.
Element x y z (fractional)
Er 0.0000 0.0000 0.5000  8 Er 3.26-3.40, 2 Th 3.45
Er 0.0000 0.3023 0.6977  6 Er 3.25-3.40
Er 0.0000 0.5000 0.0000  8 Er 3.26-3.40, 2 Th 3.45
Er 0.0000 0.6977 0.3023  6 Er 3.25-3.40
Er 0.1452 0.6321 0.6321  6 Er 3.25-3.27
Er 0.3023 0.0000 0.6977  6 Er 3.25-3.40
Er 0.3023 0.6977 0.0000  6 Er 3.25-3.40
Er 0.3679 0.3679 0.8548  6 Er 3.25-3.27
Er 0.3679 0.8548 0.3679  6 Er 3.25-3.27
Er 0.5000 0.0000 0.0000  8 Er 3.26-3.40, 2 Th 3.45
Er 0.6321 0.1452 0.6321  6 Er 3.25-3.27
Er 0.6321 0.6321 0.1452  6 Er 3.25-3.27
Er 0.6977 0.0000 0.3023  6 Er 3.25-3.40
Er 0.6977 0.3023 0.0000  6 Er 3.25-3.40
Er 0.8548 0.3679 0.3679  6 Er 3.25-3.27
Tm 0.3147 0.3147 0.3147  15 Er 3.86-4.13, 1 Th 3.99
Tm 0.6853 0.6853 0.6853  15 Er 3.86-4.13, 1 Th 3.99
Th 0.0893 0.0893 0.0893  1 Th 3.16, 3 Er 3.45
Th 0.9107 0.9107 0.9107  1 Th 3.16, 3 Er 3.45


no.,total DFT energy (no corrections) (eV/atom)
1,-6.052
2,-4.550